Density functional theory data (PBE-GGA) for crystalline NaLaCdTe3 at its relaxed geometry.

a = 10.451 Å, b = 10.451 Å, c = 9.200 Å
α = 104.89°, β = 104.89°, γ = 25.05°
Positions (direct):
Na (0.120, 0.120, 0.084)
Na (0.880, 0.880, 0.916)
La (0.177, 0.177, 0.604)
La (0.823, 0.823, 0.396)
Cd (0.465, 0.465, 0.276)
Cd (0.535, 0.535, 0.724)
Te (0.000, 0.000, 0.500)
Te (0.323, 0.323, 0.148)
Te (0.335, 0.335, 0.644)
Te (0.500, 0.500, 0.000)
Te (0.665, 0.665, 0.356)
Te (0.677, 0.677, 0.852)

## Properties
The calculation puts the energy relative to the lowest polymorph listed for this composition at 78 meV per atom. As for the space group: C2/m, No. 12.

=====

Density functional theory data (PBE-GGA) for crystalline LiNi2Sn at its relaxed geometry.

a = 3.172 Å, b = 3.172 Å, c = 5.451 Å
α = 90.00°, β = 90.00°, γ = 90.00°
Positions (direct):
Li (0.000, 0.000, 0.000)
Ni (0.500, 0.500, 0.242)
Ni (0.500, 0.500, 0.758)
Sn (0.000, 0.000, 0.500)

## Properties
The raw total energy comes out at -17.425 eV/cell. As for the space group: P4/mmm, No. 123.

=====

| no. | size of the total moment (μB per formula unit) |
| --- | --- |
| 1 | 0.00 |
| 2 | 0.01 |